Record 1
NaAcIn2I6 | PBE | optimized geometry

Unit cell a=8.6211 b=8.6205 c=8.9641 alpha=61.23 beta=61.22 gamma=59.96
Fractional coordinates of all 10 atoms:
In  0.5213  0.5211  0.4365
In  0.0173  0.0173  0.9482
I  0.5929  0.1895  0.2618
I  0.6958  0.1024  0.7555
I  0.4463  0.6956  0.7553
I  0.1026  0.4464  0.7556
I  0.9557  0.5932  0.2617
I  0.1894  0.9557  0.2616
Na  0.8177  0.8178  0.5467
Ac  0.3226  0.3225  0.0323

SG: R3
Total magnetization: 0.0 μB per formula unit
DFT total energy: -3.0628 eV/atom
V: 47.9 Å³ per atom
Raw formation energy: -1.042 eV/atom
DOS(E_F): 0.000 states/eV/atom

---

Record 2
Gd3ThCo | PBE | optimized geometry

Unit cell a=5.2962 b=5.2962 c=5.2962 alpha=90.00 beta=90.00 gamma=90.00
Site moments in Bohr magnetons follow the coordinates.
Fractional coordinates of all 5 atoms:
Gd  0.0000  0.5000  0.0000  -7.10
Gd  0.5000  0.0000  0.0000  -7.10
Gd  0.0000  0.0000  0.5000  -7.10
Th  0.5000  0.5000  0.5000  -0.33
Co  0.0000  0.0000  0.0000  -0.03

SG: Pm-3m
Total magnetization: 22.7 μB per formula unit
DFT total energy: -11.2600 eV/atom
V: 29.7 Å³ per atom
Energy of formation from the pure elements: 0.0937 eV/atom
DOS(E_F): 1.329 states/eV/atom

---

Record 3
LiBe2Pb2 | PBE | optimized geometry

Unit cell a=4.1586 b=4.1586 c=6.6772 alpha=71.86 beta=71.86 gamma=90.00
Fractional coordinates of all 5 atoms:
Pb  0.3751  0.3751  0.2497
Pb  0.6249  0.6249  0.7503
Li  0.0000  0.0000  0.0000
Be  0.7500  0.2500  0.5000
Be  0.2500  0.7500  0.5000

SG: I4/mmm
Total magnetization: 0.0 μB per formula unit
DFT total energy: -2.9626 eV/atom
V: 20.7 Å³ per atom
Energy of formation from the pure elements: 0.3940 eV/atom
DOS(E_F): 0.260 states/eV/atom

---

Record 4
LaNb3Au | PBE | optimized geometry

Unit cell a=4.8449 b=4.8449 c=4.8449 alpha=90.00 beta=90.00 gamma=90.00
Fractional coordinates of all 5 atoms:
Nb  0.5000  0.0000  0.0000
Nb  0.0000  0.5000  0.0000
Nb  0.0000  0.0000  0.5000
Au  0.5000  0.5000  0.5000
La  0.0000  0.0000  0.0000

SG: Pm-3m
Total magnetization: 0.0 μB per formula unit
DFT total energy: -6.0028 eV/atom
V: 22.7 Å³ per atom
Energy of formation from the pure elements: 1.6800 eV/atom
DOS(E_F): 0.580 states/eV/atom

---

Record 5
CrAu2Cl | PBE | optimized geometry

Unit cell a=4.9321 b=4.9321 c=6.6439 alpha=79.57 beta=79.57 gamma=37.12
Site moments in Bohr magnetons follow the coordinates.
Fractional coordinates of all 4 atoms:
Cl  0.6465  0.6465  0.4453  -0.04
Au  0.6958  0.6958  0.8543  0.01
Au  0.9488  0.9488  0.0167  0.04
Cr  0.2089  0.2089  0.1837  3.32

SG: Cm
Total magnetization: 3.6 μB per formula unit
DFT total energy: -4.5670 eV/atom
V: 23.9 Å³ per atom
Raw formation energy: -0.061 eV/atom
DOS(E_F): 0.371 states/eV/atom

---

Record 6
Dy3Ni5Te12 | PBE | optimized geometry

Unit cell a=14.1411 b=14.1411 c=14.1411 alpha=109.47 beta=109.47 gamma=109.47
Fractional coordinates of all 80 atoms:
Dy  0.2500  0.6250  0.8750
Dy  0.3750  0.6250  0.2500
Dy  0.3750  0.7500  0.6250
Dy  0.1250  0.2500  0.8750
Dy  0.1250  0.8750  0.7500
Dy  0.2500  0.1250  0.3750
Dy  0.6250  0.3750  0.7500
Dy  0.6250  0.2500  0.3750
Dy  0.7500  0.8750  0.6250
Dy  0.7500  0.3750  0.1250
Dy  0.8750  0.1250  0.2500
Dy  0.8750  0.7500  0.1250
Te  0.1177  0.7035  0.5277
Te  0.0859  0.1758  0.2035
Te  0.5859  0.7035  0.6758
Te  0.2035  0.5277  0.6177
Te  0.4723  0.7965  0.8823
Te  0.3242  0.7965  0.4141
Te  0.4100  0.0277  0.3242
Te  0.0900  0.1758  0.4723
Te  0.7965  0.4723  0.3823
Te  0.4141  0.1177  0.5900
Te  0.3823  0.4100  0.0859
Te  0.7965  0.3242  0.9141
Te  0.9141  0.0900  0.6177
Te  0.8242  0.9100  0.0277
Te  0.0277  0.6177  0.7035
Te  0.4141  0.2965  0.3242
Te  0.7035  0.1177  0.0277
Te  0.6177  0.0277  0.2035
Te  0.5277  0.3242  0.9100
Te  0.5900  0.9723  0.6758
Te  0.9100  0.8242  0.5277
Te  0.2035  0.6758  0.0859
Te  0.5900  0.6177  0.4141
Te  0.8823  0.5859  0.9100
Te  0.4723  0.6758  0.0900
Te  0.1758  0.0900  0.9723
Te  0.1177  0.4141  0.0900
Te  0.0277  0.4100  0.8242
Te  0.5859  0.8823  0.4100
Te  0.9141  0.8242  0.7965
Te  0.9723  0.5900  0.1758
Te  0.7035  0.5859  0.1758
Te  0.5277  0.2035  0.1177
Te  0.0900  0.9141  0.1177
Te  0.9100  0.0859  0.8823
Te  0.8242  0.9141  0.2965
Te  0.0859  0.9100  0.3823
Te  0.6758  0.4723  0.5900
Te  0.4100  0.3823  0.5859
Te  0.1758  0.0859  0.7035
Te  0.2965  0.8823  0.9723
Te  0.8823  0.2965  0.4723
Te  0.9723  0.3823  0.2965
Te  0.3823  0.9723  0.7965
Te  0.3242  0.5277  0.4100
Te  0.6177  0.5900  0.9141
Te  0.2965  0.4141  0.8242
Te  0.6758  0.2035  0.5859
Ni  0.8750  0.6250  0.7500
Ni  0.2500  0.3750  0.6250
Ni  0.7500  0.6250  0.3750
Ni  0.8750  0.2500  0.6250
Ni  0.2500  0.8750  0.1250
Ni  0.0000  0.5000  0.0000
Ni  0.5000  0.5000  0.5000
Ni  0.0000  0.5000  0.5000
Ni  0.7500  0.1250  0.8750
Ni  0.1250  0.7500  0.3750
Ni  0.1250  0.3750  0.2500
Ni  0.3750  0.2500  0.1250
Ni  0.5000  0.0000  0.5000
Ni  0.5000  0.5000  0.0000
Ni  0.6250  0.8750  0.2500
Ni  0.6250  0.7500  0.8750
Ni  0.0000  0.0000  0.0000
Ni  0.3750  0.1250  0.7500
Ni  0.5000  0.0000  0.0000
Ni  0.0000  0.0000  0.5000

SG: Ia-3d
Total magnetization: 0.0 μB per formula unit
DFT total energy: -4.5169 eV/atom
V: 27.2 Å³ per atom
Raw formation energy: -0.496 eV/atom
DOS(E_F): 0.819 states/eV/atom

---

Record 7
CsCeCuI5 | PBE | optimized geometry

Unit cell a=8.6394 b=8.6394 c=11.7539 alpha=104.42 beta=104.42 gamma=105.26
Site moments in Bohr magnetons follow the coordinates.
Fractional coordinates of all 16 atoms:
I  0.7753  0.6123  0.4224  -0.01
I  0.6123  0.7753  0.9224  -0.01
I  0.2247  0.3877  0.5776  -0.01
I  0.3144  0.9002  0.6191  -0.01
I  0.9002  0.3144  0.1191  -0.01
I  0.9190  0.0810  0.7500  -0.01
I  0.3877  0.2247  0.0776  -0.01
I  0.0810  0.9190  0.2500  -0.01
I  0.6856  0.0998  0.3809  -0.01
I  0.0998  0.6856  0.8809  -0.01
Ce  0.0000  0.0000  0.0000  1.01
Ce  0.0000  0.0000  0.5000  1.01
Cu  0.6925  0.3075  0.2500  -0.01
Cu  0.3075  0.6925  0.7500  -0.01
Cs  0.6438  0.3562  0.7500  0.00
Cs  0.3562  0.6438  0.2500  0.00

SG: C2/c
Total magnetization: 1.0 μB per formula unit
DFT total energy: -3.4115 eV/atom
V: 48.2 Å³ per atom
Raw formation energy: -1.082 eV/atom
DOS(E_F): 0.535 states/eV/atom

---

Record 8
AcNi4Pd8 | PBE | optimized geometry

Unit cell a=5.0553 b=6.8324 c=6.8324 alpha=82.13 beta=68.29 gamma=68.29
Site moments in Bohr magnetons follow the coordinates.
Fractional coordinates of all 13 atoms:
Pd  0.5000  0.2231  0.7769  0.19
Pd  0.5000  0.7769  0.2231  0.19
Pd  0.7231  0.7769  0.7769  0.19
Pd  0.6514  0.3486  0.3486  0.14
Pd  0.2769  0.2231  0.2231  0.19
Pd  0.0000  0.6514  0.3486  0.14
Pd  0.3486  0.6514  0.6514  0.14
Pd  0.0000  0.3486  0.6514  0.14
Ni  0.0000  0.5000  0.0000  0.74
Ni  0.0000  0.0000  0.5000  0.74
Ni  0.5000  0.5000  0.0000  0.74
Ni  0.5000  0.0000  0.5000  0.74
Ac  0.0000  0.0000  0.0000  -0.04

SG: I4/mmm
Total magnetization: 4.0 μB per formula unit
DFT total energy: -5.5217 eV/atom
V: 15.7 Å³ per atom
Energy of formation from the pure elements: -0.2312 eV/atom
DOS(E_F): 1.298 states/eV/atom